VASP calculation (PBE) on CrAuN2 after structural relaxation.

Summary:
Energy relative to the elements, uncorrected (eV/atom): 1.427
SG: Fm-3m (225)
Distance to the lowest polymorph of the same formula (meV/atom): 1268
Crystal system: cubic
N(E_F) (states/eV/f.u.): 6.03
Spin magnetization (μB per atom): 0.48
Total DFT energy (no corrections) (eV/atom): -5.96

a = 3.932 Å, b = 3.932 Å, c = 3.932 Å
α = 60.00°, β = 60.00°, γ = 60.00°
Last column: magnetic moment on the atom in μB.
Element x y z (fractional)
Cr 0.000 0.000 0.000  2.74
N 0.750 0.750 0.750  -0.34
N 0.250 0.250 0.250  -0.34
Au 0.500 0.500 0.500  -0.11